1.
Entry from Alexandria: a geometry-optimized TmHf2ScAs4 structure (GGA-PBE).

- M_tot (μB/cell) = 0.00
- symmetry = P2/m
- uncorrected energy (eV per atom) = -7.371

Lattice parameters (Å, degrees): 6.721 3.880 6.796 90.00 109.35 90.00
Fractional coordinates of all 8 atoms:
Tm1 0.000 0.000 0.000
Hf1 0.000 0.500 0.500
Hf2 0.500 0.000 0.500
Sc1 0.500 0.500 0.000
As1 0.253 0.000 0.745
As2 0.258 0.500 0.259
As3 0.742 0.500 0.741
As4 0.747 0.000 0.255

---

2.
Entry from Alexandria: a geometry-optimized Tm2HfScAs4 structure (GGA-PBE).

- M_tot (μB/cell) = 0.00
- symmetry = P2/m
- uncorrected energy (eV per atom) = -6.835

Lattice parameters (Å, degrees): 6.831 3.947 6.848 90.00 109.32 90.00
Fractional coordinates of all 8 atoms:
Tm1 0.000 0.000 0.000
Tm2 0.500 0.500 0.000
Hf1 0.000 0.500 0.500
Sc1 0.500 0.000 0.500
As1 0.245 0.000 0.737
As2 0.253 0.500 0.262
As3 0.747 0.500 0.738
As4 0.755 0.000 0.263

---

3.
Entry from Alexandria: a geometry-optimized Hf2ScUAs4 structure (GGA-PBE).

- M_tot (μB/cell) = 2.16
- symmetry = P2/m
- uncorrected energy (eV per atom) = -8.046

Lattice parameters (Å, degrees): 6.758 3.891 6.769 90.00 109.14 90.00
Fractional coordinates of all 8 atoms:
Hf1 0.000 0.000 0.000
Hf2 0.000 0.500 0.500
Sc1 0.500 0.000 0.500
U1 0.500 0.500 0.000
As1 0.239 0.000 0.740
As2 0.244 0.500 0.253
As3 0.756 0.500 0.747
As4 0.761 0.000 0.260

---

4.
Entry from Alexandria: a geometry-optimized YHfSc2As4 structure (GGA-PBE).

- M_tot (μB/cell) = 0.00
- symmetry = P2/m
- uncorrected energy (eV per atom) = -7.286

Lattice parameters (Å, degrees): 6.771 3.925 6.803 90.00 109.34 90.00
Fractional coordinates of all 8 atoms:
Y1 0.000 0.000 0.000
Hf1 0.000 0.500 0.500
Sc1 0.500 0.000 0.500
Sc2 0.500 0.500 0.000
As1 0.253 0.000 0.742
As2 0.259 0.500 0.262
As3 0.741 0.500 0.738
As4 0.747 0.000 0.258

---

5.
Entry from Alexandria: a geometry-optimized Hf2ScZnAs structure (GGA-PBE).

- M_tot (μB/cell) = 0.00
- symmetry = P4/mmm
- uncorrected energy (eV per atom) = -6.037

Lattice parameters (Å, degrees): 4.909 4.909 4.869 90.00 90.00 90.00
Fractional coordinates of all 5 atoms:
Hf1 0.000 0.500 0.000
Hf2 0.500 0.000 0.000
Sc1 0.000 0.000 0.500
Zn1 0.000 0.000 0.000
As1 0.500 0.500 0.500

---

6.
Entry from Alexandria: a geometry-optimized HfZr2ScAs4 structure (GGA-PBE).

- M_tot (μB/cell) = 0.00
- symmetry = P2/m
- uncorrected energy (eV per atom) = -7.631

Lattice parameters (Å, degrees): 6.682 3.852 6.705 90.00 109.39 90.00
Fractional coordinates of all 8 atoms:
Hf1 0.000 0.000 0.000
Zr1 0.000 0.500 0.500
Zr2 0.500 0.000 0.500
Sc1 0.500 0.500 0.000
As1 0.248 0.500 0.245
As2 0.251 0.000 0.754
As3 0.749 0.000 0.246
As4 0.752 0.500 0.755

---

7.
Entry from Alexandria: a geometry-optimized Hf2ZrScAs structure (GGA-PBE).

- M_tot (μB/cell) = 0.00
- symmetry = P4/mmm
- uncorrected energy (eV per atom) = -6.792

Lattice parameters (Å, degrees): 5.120 5.120 5.073 90.00 90.00 90.00
Fractional coordinates of all 5 atoms:
Hf1 0.000 0.500 0.000
Hf2 0.500 0.000 0.000
Zr1 0.000 0.000 0.000
Sc1 0.000 0.000 0.500
As1 0.500 0.500 0.500

---

8.
Entry from Alexandria: a geometry-optimized HfZrSc2As structure (GGA-PBE).

- M_tot (μB/cell) = 0.00
- symmetry = P4/mmm
- uncorrected energy (eV per atom) = -6.278

Lattice parameters (Å, degrees): 5.146 5.146 5.094 90.00 90.00 90.00
Fractional coordinates of all 5 atoms:
Hf1 0.000 0.000 0.000
Zr1 0.000 0.000 0.500
Sc1 0.000 0.500 0.000
Sc2 0.500 0.000 0.000
As1 0.500 0.500 0.500